Here is crystalline HfPaMnFe at its relaxed geometry from the Alexandria database. Energies are from PBE.

Calculated values
The total moment comes out at 0.19 μB per atom. The formation energy comes out at -0.0321 eV/atom. The value obtained for the volume is 68.2 Å³ per cell. Its space group is F-43m, No. 216.

abc: 4.585 4.585 4.585
angles: 60.00 60.00 60.00
Atoms (fractional coordinates):
Hf 0.000 0.000 0.000
Pa 0.500 0.500 0.500
Mn 0.250 0.250 0.250
Fe 0.750 0.750 0.750